No. 1
10
Lattice="7.2333 0.0000 0.0000 0.0000 7.2333 0.0000 0.0000 0.0000 3.0323" Properties=species:S:1:pos:R:3 comment="PBE MgTc2As2, relaxed" space_group=P4/mbm density_g_cm3=7.748 delta_e_f_ev_per_atom=-0.0546 pbc="T T T"
Mg 0.0000 0.0000 0.0000
Mg 3.6167 3.6167 0.0000
Tc 1.0763 2.5403 1.5161
Tc 2.5403 6.1570 1.5161
Tc 4.6930 1.0763 1.5161
Tc 6.1570 4.6930 1.5161
As 1.0620 4.6787 0.0000
As 2.5547 1.0620 0.0000
As 4.6787 6.1713 0.0000
As 6.1713 2.5547 0.0000



No. 2
6
Lattice="0.0000 3.9165 3.9165 3.9165 0.0000 3.9165 3.9165 3.9165 0.0000" Properties=species:S:1:pos:R:3 comment="PBE Ag4SbMo, relaxed" space_group=F-43m density_g_cm3=8.972 formation_energy_uncorrected_ev_per_atom=0.537 pbc="T T T"
Ag 0.9752 0.9752 0.9752
Ag 2.9412 2.9412 0.9752
Ag 2.9412 0.9752 2.9412
Ag 0.9752 2.9412 2.9412
Sb 3.9165 3.9165 3.9165
Mo 5.8747 5.8747 5.8747